1.
A plane-wave DFT calculation with PBE-GGA was carried out for crystalline PmPr5Sm4 at its relaxed geometry.

```
PmPr5Sm4
1.0
6.304 0.000 0.000
3.152 7.521 0.000
3.152 0.000 7.521
Pr Sm Pm
5 4 1
Cartesian
9.199 7.520 2.854 Pr
6.047 2.854 0.001 Pr
6.047 4.668 7.520 Pr
2.895 0.001 4.668 Pr
4.328 0.000 0.000 Pr
2.778 2.455 2.453 Sm
5.930 2.453 5.066 Sm
5.930 5.068 2.455 Sm
9.083 5.066 5.068 Sm
1.413 0.000 0.000 Pm
```

As for the distance to the lowest polymorph of the same formula: 97 meV/atom.

2.
A plane-wave DFT calculation with PBE-GGA was carried out for crystalline Pm4Pr3Sm2 at its relaxed geometry.

```
Pm4Pr3Sm2
1.0
6.298 -0.327 -0.748
-3.358 4.350 -3.195
-1.702 -0.988 13.072
Sm Pr Pm
2 3 4
Cartesian
-1.228 1.200 7.127 Sm
2.466 1.835 2.003 Sm
0.000 0.000 0.000 Pr
1.991 -0.360 7.945 Pr
-0.753 3.395 1.184 Pr
1.853 2.438 5.561 Pm
1.373 0.240 11.511 Pm
-0.615 0.596 3.569 Pm
-0.135 2.795 -2.381 Pm
```

As for the distance to the lowest polymorph of the same formula: 0 meV/atom.

3.
A plane-wave DFT calculation with PBE-GGA was carried out for crystalline Pm3Pr12Sm at its relaxed geometry.

```
Pm3Pr12Sm
1.0
-3.650 3.328 -1.718
-3.711 -3.536 1.035
-2.008 7.750 19.276
Pr Pm Sm
12 3 1
Cartesian
-4.182 1.829 4.466 Pr
-3.111 3.078 12.571 Pr
-2.608 1.136 7.740 Pr
-4.685 3.771 9.296 Pr
-3.681 -0.104 -0.342 Pr
-5.188 5.713 14.127 Pr
-2.106 -0.803 2.918 Pr
-3.081 6.510 11.194 Pr
-3.583 8.449 16.017 Pr
-2.075 2.629 1.541 Pr
-3.614 5.017 17.394 Pr
-2.577 4.568 6.363 Pr
-0.501 1.933 4.809 Pm
-1.507 5.817 14.467 Pm
-1.004 3.875 9.638 Pm
0.000 0.000 0.000 Sm
```

The total energy is -4.7601 eV/atom.

4.
A plane-wave DFT calculation with PBE-GGA was carried out for crystalline SrPmPrSm at its relaxed geometry.

```
SrPmPrSm
1.0
5.999 0.000 0.000
2.999 5.195 0.000
2.999 1.732 4.898
Sm Pm Pr Sr
1 1 1 1
Cartesian
5.999 3.463 2.449 Sm
8.998 5.195 3.673 Pm
0.000 0.000 0.000 Pr
2.999 1.732 1.224 Sr
```

The total energy is -3.7634 eV/atom.